## Ba3DyCr2O9 (GGA+U)

Data for a relaxed Ba3DyCr2O9 crystal.

Density of states at the Fermi level (states/eV/f.u.): 4.40
Electronic total energy (eV per atom): -7.016

Unit cell a=5.7937 b=5.7937 c=7.1573 alpha=90.00 beta=90.00 gamma=120.00
Element x y z (fractional)
Cr: 0.6667 0.3333 0.8374
Cr: 0.3333 0.6667 0.1626
Ba: 0.6667 0.3333 0.3193
Ba: 0.3333 0.6667 0.6807
O: 0.1786 0.3571 0.3134
O: 0.0000 0.5000 0.0000
O: 0.3571 0.1786 0.6866
O: 0.1786 0.8214 0.3134
O: 0.5000 0.5000 0.0000
O: 0.5000 0.0000 0.0000
Dy: 0.0000 0.0000 0.5000
O: 0.8214 0.1786 0.6866
Ba: 0.0000 0.0000 0.0000
O: 0.6429 0.8214 0.3134
O: 0.8214 0.6429 0.6866